Model 1:
Material: HgW2C
Method: DFT, PBE-GGA
State: optimized geometry

Lattice parameters (Å, degrees): 6.931 6.931 6.931 137.30 137.30 61.97
Element x y z (fractional)
Hg 0.000 0.000 0.000
Hg 0.750 0.250 0.500
W 0.267 0.625 0.142
W 0.375 0.517 0.642
W 0.483 0.125 0.858
W 0.875 0.733 0.358
C 0.250 0.750 0.500
C 0.500 0.500 0.000

Results
Total magnetization in μB per formula unit: 0.0
ρ in kg/m³: 12739

---

Model 2:
Material: HgW2C
Method: DFT, PBE-GGA
State: optimized geometry

Lattice parameters (Å, degrees): 4.368 4.368 4.368 60.00 60.00 60.00
Element x y z (fractional)
Hg 0.000 0.000 0.000
W 0.250 0.250 0.250
W 0.750 0.750 0.750
C 0.500 0.500 0.500

Results
Total magnetization in μB per formula unit: 0.0
ρ in kg/m³: 16348

---

Which of them is most stable, and which least? Most stable: model 1; least stable: model 2.

---

Model 1:
Material: HgWC3
Method: DFT, PBE-GGA
State: optimized geometry

Lattice parameters (Å, degrees): 4.124 4.124 4.124 90.00 90.00 90.00
Element x y z (fractional)
Hg 0.000 0.000 0.000
W 0.500 0.500 0.500
C 0.000 0.000 0.500
C 0.000 0.500 0.000
C 0.500 0.000 0.000

Results
Total magnetization in μB per formula unit: 1.0
ρ in kg/m³: 9953

---

Model 2:
Material: HgWC3
Method: DFT, PBE-GGA
State: optimized geometry

Lattice parameters (Å, degrees): 4.180 4.180 4.180 90.00 90.00 90.00
Element x y z (fractional)
Hg 0.000 0.000 0.000
W 0.500 0.500 0.500
C 0.000 0.500 0.500
C 0.500 0.000 0.500
C 0.500 0.500 0.000

Results
Total magnetization in μB per formula unit: 0.0
ρ in kg/m³: 9562

---

Which of them is most stable, and which least? Most stable: model 2; least stable: model 1.

---

Model 1:
Material: Y4Hg2C
Method: DFT, PBE-GGA
State: optimized geometry

Lattice parameters (Å, degrees): 8.214 8.214 8.214 145.17 145.17 50.08
Element x y z (fractional)
Y 0.000 0.500 0.500
Y 0.167 0.167 0.000
Y 0.500 0.000 0.500
Y 0.833 0.833 0.000
Hg 0.369 0.369 0.000
Hg 0.631 0.631 0.000
C 0.000 0.000 0.000

Results
Total magnetization in μB per formula unit: 0.0
ρ in kg/m³: 7099

---

Model 2:
Material: Y4Hg2C
Method: DFT, PBE-GGA
State: optimized geometry

Lattice parameters (Å, degrees): 6.424 6.673 9.203 90.00 109.47 90.00
Element x y z (fractional)
Y 0.165 0.250 0.077
Y 0.226 0.003 0.729
Y 0.226 0.497 0.729
Y 0.298 0.750 0.354
Y 0.702 0.250 0.646
Y 0.774 0.503 0.271
Y 0.774 0.997 0.271
Y 0.835 0.750 0.923
Hg 0.217 0.250 0.425
Hg 0.375 0.750 0.035
Hg 0.625 0.250 0.965
Hg 0.783 0.750 0.575
C 0.054 0.250 0.816
C 0.946 0.750 0.184

Results
Total magnetization in μB per formula unit: 0.0
ρ in kg/m³: 6864

---

Which of them is most stable, and which least? Most stable: model 1; least stable: model 2.

---

Model 1:
Material: ZnHgC2
Method: DFT, PBE-GGA
State: optimized geometry

Lattice parameters (Å, degrees): 4.163 4.163 4.163 60.00 60.00 60.00
Element x y z (fractional)
Zn 0.000 0.000 0.000
Hg 0.500 0.500 0.500
C 0.250 0.250 0.250
C 0.750 0.750 0.750

Results
Total magnetization in μB per formula unit: 0.0
ρ in kg/m³: 9440

---

Model 2:
Material: ZnHgC2
Method: DFT, PBE-GGA
State: optimized geometry

Lattice parameters (Å, degrees): 6.000 6.000 6.000 131.06 131.06 71.71
Element x y z (fractional)
Zn 0.000 0.000 0.000
Zn 0.750 0.250 0.500
Hg 0.250 0.750 0.500
Hg 0.500 0.500 0.000
C 0.085 0.625 0.960
C 0.375 0.335 0.460
C 0.665 0.125 0.040
C 0.875 0.915 0.540

Results
Total magnetization in μB per formula unit: 0.0
ρ in kg/m³: 8019

---

Which of them is most stable, and which least? Most stable: model 2; least stable: model 1.